1.
DFT (GGA-PBE) results for a relaxed PmPuPd4 crystal.

abc: 5.486 5.486 5.486
angles: 60.00 60.00 60.00
Positions (direct):
Pm (0.000, 0.000, 0.000)
Pu (0.750, 0.750, 0.750)
Pd (0.375, 0.375, 0.375)
Pd (0.375, 0.375, 0.874)
Pd (0.375, 0.874, 0.375)
Pd (0.874, 0.375, 0.375)

Properties
Total moment: 5.4 μB per cell
Total energy: -7.29 eV per atom

---

2.
DFT (GGA-PBE) results for a relaxed YAl2Ni crystal.

abc: 8.745 8.745 8.745
angles: 21.22 21.22 21.22
Positions (direct):
Y (0.000, 0.000, 0.000)
Al (0.522, 0.522, 0.522)
Al (0.770, 0.770, 0.770)
Ni (0.253, 0.253, 0.253)

Properties
Total moment: 0.0 μB per cell
Total energy: -4.91 eV per atom

---

3.
DFT (GGA-PBE) results for a relaxed Pr12Ni6Pb crystal.

abc: 8.811 8.811 8.811
angles: 109.47 109.47 109.47
Positions (direct):
Pr (0.122, 0.814, 0.308)
Pr (0.186, 0.308, 0.494)
Pr (0.186, 0.692, 0.878)
Pr (0.308, 0.122, 0.814)
Pr (0.308, 0.494, 0.186)
Pr (0.494, 0.186, 0.308)
Pr (0.506, 0.814, 0.692)
Pr (0.692, 0.506, 0.814)
Pr (0.692, 0.878, 0.186)
Pr (0.814, 0.308, 0.122)
Pr (0.814, 0.692, 0.506)
Pr (0.878, 0.186, 0.692)
Ni (0.120, 0.620, 0.500)
Ni (0.380, 0.500, 0.880)
Ni (0.500, 0.120, 0.620)
Ni (0.500, 0.880, 0.380)
Ni (0.620, 0.500, 0.120)
Ni (0.880, 0.380, 0.500)
Pb (0.000, 0.000, 0.000)

Properties
Total moment: 0.0 μB per cell
Total energy: -5.31 eV per atom

---

4.
DFT (GGA-PBE) results for a relaxed Rb2MnTl crystal.

abc: 9.938 9.938 9.938
angles: 94.02 94.02 149.28
Positions (direct):
Rb (0.375, 0.199, 0.324)
Rb (0.801, 0.125, 0.176)
Rb (0.875, 0.051, 0.676)
Rb (0.949, 0.625, 0.824)
Mn (0.000, 0.000, 0.000)
Mn (0.750, 0.250, 0.500)
Tl (0.250, 0.750, 0.500)
Tl (0.500, 0.500, 0.000)

Properties
Polymorph energy (0 for the lowest one): 0.000 eV/atom
Total moment: 8.0 μB per cell
Total energy: -2.85 eV per atom

---

5.
DFT (GGA-PBE) results for a relaxed Hf2AlAs crystal.

abc: 7.981 7.981 7.981
angles: 137.64 137.64 61.46
Positions (direct):
Hf (0.110, 0.625, 0.985)
Hf (0.375, 0.360, 0.485)
Hf (0.640, 0.125, 0.015)
Hf (0.875, 0.890, 0.515)
Al (0.250, 0.750, 0.500)
Al (0.500, 0.500, 0.000)
As (0.000, 0.000, 0.000)
As (0.750, 0.250, 0.500)

Properties
Polymorph energy (0 for the lowest one): 1.014 eV/atom
Total moment: 0.0 μB per cell
Total energy: -6.54 eV per atom

---

6.
DFT (GGA-PBE) results for a relaxed KY crystal.

abc: 6.340 6.340 13.472
angles: 110.86 110.86 34.06
Positions (direct):
K (0.000, 0.000, 0.000)
K (0.340, 0.340, 0.205)
K (0.660, 0.660, 0.795)
Y (0.000, 0.000, 0.500)
Y (0.322, 0.322, 0.611)
Y (0.678, 0.678, 0.389)

Properties
Total moment: 0.0 μB per cell
Total energy: -3.46 eV per atom

---

| no. | DFT formation energy (eV/atom) | density (kg/m3) |
| --- | --- | --- |
| 1 | -0.645 | 11587 |
| 2 | 0.020 | 4361 |
| 3 | -0.269 | 7096 |
| 4 | 0.522 | 2955 |
| 5 | 0.537 | 6679 |
| 6 | 0.324 | 2266 |